No. 1
4
Lattice="5.6121 -0.0305 -0.0423 3.5370 4.3573 -0.0423 -0.5151 -0.2436 6.6135" Properties=species:S:1:pos:R:3 comment="KBr2Cl PBE optimized geometry" crystal_system=monoclinic dos_ef_per_ev_fu=0.0 energy_ev_per_atom=-2.53 magnetic_moment_mub_per_cell=0.00 pbc="T T T"
K 2.3031 1.0892 2.0952
Br 8.2435 3.8986 0.1816
Br 6.4123 3.0325 4.7644
Cl 5.1410 2.4313 2.6676


No. 2
4
Lattice="-3.2510 4.5810 -5.2116 -3.3491 1.0332 2.9973 2.2814 3.2913 1.4699" Properties=species:S:1:pos:R:3 comment="KBrCl2 PBE optimized geometry" crystal_system=monoclinic dos_ef_per_ev_fu=3.0 energy_ev_per_atom=-2.49 magnetic_moment_mub_per_cell=0.08 pbc="T T T"
K -0.6171 2.0545 2.1909
Br -2.7511 5.0826 0.5506
Cl 2.1969 3.1873 1.4313
Cl -1.3997 4.0345 -1.2136


No. 3
10
Lattice="4.6907 0.0000 0.0000 0.0000 4.6907 0.0000 -2.3453 -2.3453 16.5707" Properties=species:S:1:pos:R:3 comment="K5Br4Cl PBE optimized geometry" crystal_system=tetragonal dos_ef_per_ev_fu=0.0 energy_ev_per_atom=-3.19 magnetic_moment_mub_per_cell=0.00 pbc="T T T"
K 0.0000 0.0000 3.2062
K 2.3453 2.3453 0.0000
K 2.3453 2.3453 13.3646
K 0.0000 0.0000 9.9608
K 2.3453 2.3453 6.6100
Br 0.0000 0.0000 13.2814
Br 2.3453 2.3453 9.9652
Br 0.0000 0.0000 6.6055
Br 2.3453 2.3453 3.2893
Cl 0.0000 0.0000 0.0000


No. 4
3
Lattice="-3.6034 -5.1386 -0.7181 -0.6297 -5.7948 2.4242 -3.1915 -0.0486 2.9934" Properties=species:S:1:pos:R:3 comment="KBrCl PBE optimized geometry" crystal_system=orthorhombic dos_ef_per_ev_fu=0.2 energy_ev_per_atom=-2.59 magnetic_moment_mub_per_cell=1.00 pbc="T T T"
K -3.9022 -7.4762 2.1150
Br -3.2266 -0.4159 2.9499
Cl -3.4872 -3.1386 2.6279


No. 5
5
Lattice="-2.0244 -5.4522 -2.4915 5.7027 -0.9410 -2.5742 1.8477 -3.0693 5.2152" Properties=species:S:1:pos:R:3 comment="KBr3Cl PBE optimized geometry" crystal_system=cubic dos_ef_per_ev_fu=15.0 energy_ev_per_atom=-1.56 magnetic_moment_mub_per_cell=3.00 pbc="T T T"
K 0.0000 0.0000 0.0000
Br 2.8513 -0.4705 -1.2871
Br 0.9238 -1.5346 2.6076
Br -1.0122 -2.7261 -1.2458
Cl 2.7630 -4.7312 0.0747


No. 6
5
Lattice="4.5022 0.0000 0.0000 0.0000 4.5022 0.0000 2.2511 2.2511 8.5156" Properties=species:S:1:pos:R:3 comment="K2Br2Cl PBE optimized geometry" crystal_system=tetragonal dos_ef_per_ev_fu=2.8 energy_ev_per_atom=-2.73 magnetic_moment_mub_per_cell=0.00 pbc="T T T"
K 2.2511 2.2511 1.8123
K 4.5022 4.5022 6.7033
Br 4.5022 2.2511 4.2578
Br 2.2511 4.5022 4.2578
Cl 0.0000 0.0000 0.0000


No. 7
4
Lattice="-5.6179 2.5220 6.2828 -8.5884 1.1206 1.5420 7.0538 -4.4685 -2.7697" Properties=species:S:1:pos:R:3 comment="KBr2Cl PBE optimized geometry" crystal_system=orthorhombic dos_ef_per_ev_fu=2.3 energy_ev_per_atom=-2.20 magnetic_moment_mub_per_cell=0.25 pbc="T T T"
K -3.4913 -0.9755 0.8865
Br -0.2172 0.0557 0.1197
Br -3.1821 0.0268 3.9047
Cl -7.3650 1.8884 4.0566


No. 8
5
Lattice="5.4602 0.0000 0.0000 0.0000 5.4602 0.0000 0.0000 0.0000 5.4602" Properties=species:S:1:pos:R:3 comment="KBr3Cl PBE optimized geometry" crystal_system=cubic dos_ef_per_ev_fu=4.7 energy_ev_per_atom=-2.08 magnetic_moment_mub_per_cell=0.00 pbc="T T T"
K 2.7301 2.7301 2.7301
Br 0.0000 2.7301 0.0000
Br 0.0000 0.0000 2.7301
Br 2.7301 0.0000 0.0000
Cl 0.0000 0.0000 0.0000


No. 9
15
Lattice="8.1080 -0.1811 -4.4493 -5.2304 7.6384 -0.2382 -0.1868 0.1534 9.2575" Properties=species:S:1:pos:R:3 comment="K8Br3Cl4 PBE optimized geometry" crystal_system=monoclinic dos_ef_per_ev_fu=2.5 energy_ev_per_atom=-3.12 magnetic_moment_mub_per_cell=0.90 pbc="T T T"
K 2.6717 1.7890 -0.0089
K -3.9903 5.7980 2.0966
K 6.7306 1.7122 -2.2254
K 0.0654 5.7049 -0.1249
K 2.6254 1.9058 4.6948
K -4.0398 5.8985 6.7953
K -1.4269 1.9938 6.9227
K 0.0190 5.8217 4.5789
Br 1.4388 3.7286 -2.3438
Br 3.9606 -0.0138 2.4041
Br 1.3454 3.8053 2.2850
Cl 4.0540 -0.0906 -2.2247
Cl -2.6152 3.8192 -0.1191
Cl 0.0000 0.0000 0.0000
Cl -0.0934 0.0767 4.6287


No. 10
4
Lattice="-2.6776 4.6946 -1.5374 -3.4787 -0.0664 -4.4121 -5.5447 0.4578 0.7869" Properties=species:S:1:pos:R:3 comment="K2BrCl PBE optimized geometry" crystal_system=cubic dos_ef_per_ev_fu=0.0 energy_ev_per_atom=-2.80 magnetic_moment_mub_per_cell=0.00 pbc="T T T"
K 0.0000 0.0000 0.0000
K -2.9253 1.2715 -1.2907
Br -5.8505 2.5430 -2.5813
Cl -8.7758 3.8145 -3.8720


No. 11
10
Lattice="-2.4675 -0.9072 -3.8549 -4.2837 -3.5928 3.5875 -3.1150 11.8755 2.0231" Properties=species:S:1:pos:R:3 comment="K5Br4Cl PBE optimized geometry" crystal_system=orthorhombic dos_ef_per_ev_fu=0.0 energy_ev_per_atom=-3.19 magnetic_moment_mub_per_cell=0.00 pbc="T T T"
K -2.4631 1.3695 -1.5696
K -5.1248 5.3168 -0.7948
K -4.7414 2.0587 2.5505
K -2.1418 -1.7964 1.7938
K -7.4031 6.0060 3.3253
Br -5.2010 7.7130 1.5140
Br -7.2928 3.5592 1.0066
Br -2.5734 3.8163 0.7491
Br -4.6653 -0.3375 0.2417
Cl 0.0000 0.0000 0.0000


No. 12
11
Lattice="4.9550 0.0179 -0.5839 -1.2000 7.3522 -2.8193 2.1498 1.6282 9.9273" Properties=species:S:1:pos:R:3 comment="K2BrCl8 PBE optimized geometry" crystal_system=triclinic dos_ef_per_ev_fu=5.9 energy_ev_per_atom=-2.38 magnetic_moment_mub_per_cell=0.96 pbc="T T T"
K 1.2948 5.9992 1.3913
K 4.6100 2.9990 5.1328
Br 2.4775 0.0089 -0.2920
Cl 3.6396 4.1333 0.1954
Cl 3.0678 5.9975 4.5868
Cl 1.9578 1.8111 3.8014
Cl 5.9766 2.7801 8.0977
Cl 3.9470 7.1872 2.7228
Cl 2.8370 3.0008 1.9373
Cl 2.2652 4.8649 6.3287
Cl -0.0718 6.2182 -1.5735